Compound: CsIn12Ag4
Source: Alexandria
Functional: GGA-PBE
Structure: relaxed

Cell: 8.633 8.633 8.633 Å, 109.47 109.47 109.47°
Fractional positions:
Cs1 0.000 0.000 0.000
In1 0.158 0.350 0.508
In2 0.158 0.650 0.808
In3 0.192 0.842 0.350
In4 0.350 0.192 0.842
In5 0.350 0.508 0.158
In6 0.492 0.842 0.650
In7 0.508 0.158 0.350
In8 0.650 0.492 0.842
In9 0.650 0.808 0.158
In10 0.808 0.158 0.650
In11 0.842 0.350 0.192
In12 0.842 0.650 0.492
Ag1 0.000 0.000 0.500
Ag2 0.000 0.500 0.000
Ag3 0.500 0.000 0.000
Ag4 0.500 0.500 0.500

Computed properties:
ΔH_f (0 K) (eV per atom): 0.086
Total magnetic moment (μB per formula unit): 0.00
DFT total energy (eV per atom): -2.5683
Space-group type: Im-3 (204)

---

Compound: Cs2InAg
Source: Alexandria
Functional: GGA-PBE
Structure: relaxed

Cell: 12.361 7.499 4.887 Å, 90.00 113.22 90.00°
Fractional positions:
Cs1 0.188 0.000 0.189
Cs2 0.312 0.500 0.811
Cs3 0.688 0.500 0.189
Cs4 0.812 0.000 0.811
In1 0.000 0.501 0.000
In2 0.500 0.001 0.000
Ag1 0.000 0.680 0.500
Ag2 0.500 0.180 0.500

Computed properties:
ΔE to the lowest computed polymorph (meV per atom): 43
ΔH_f (0 K) (eV per atom): 0.027
Total magnetic moment (μB per formula unit): 0.00
DFT total energy (eV per atom): -1.7972
Space-group type: C2 (5)

---

Please write out number 1 again, unchanged.
Compound: CsIn12Ag4
Source: Alexandria
Functional: GGA-PBE
Structure: relaxed

Cell: 8.633 8.633 8.633 Å, 109.47 109.47 109.47°
Fractional positions:
Cs1 0.000 0.000 0.000
In1 0.158 0.350 0.508
In2 0.158 0.650 0.808
In3 0.192 0.842 0.350
In4 0.350 0.192 0.842
In5 0.350 0.508 0.158
In6 0.492 0.842 0.650
In7 0.508 0.158 0.350
In8 0.650 0.492 0.842
In9 0.650 0.808 0.158
In10 0.808 0.158 0.650
In11 0.842 0.350 0.192
In12 0.842 0.650 0.492
Ag1 0.000 0.000 0.500
Ag2 0.000 0.500 0.000
Ag3 0.500 0.000 0.000
Ag4 0.500 0.500 0.500

Computed properties:
ΔH_f (0 K) (eV per atom): 0.086
Total magnetic moment (μB per formula unit): 0.00
DFT total energy (eV per atom): -2.5683
Space-group type: Im-3 (204)

---

Among the records above, which one has the highest ΔH_f (0 K)?
CsIn12Ag4

---

Which formula does entry 2 have?
Cs2InAg